#i
Compound: K2SiB
Source: Alexandria via LeMat-Bulk
Functional: GGA-PBE
Structure: relaxed

Computed properties:
DOS(E_F): 12.42 states/eV per cell

Cell: 7.6861 7.6861 7.6861 Å, 90.00 90.00 90.00°
Closest atoms and distances in Å follow each position.
Space group Fm-3m (No. 225)
Inequivalent atoms, fractional coordinates:
K: 0.2500 0.2500 0.2500 x8  4 B 3.33, 4 Si 3.33
Si: 0.0000 0.0000 0.0000 x4  8 K 3.33
B: 0.0000 0.0000 0.5000 x4  8 K 3.33

---

#ii
Compound: K2SiB
Source: Alexandria via LeMat-Bulk
Functional: GGA-PBE
Structure: relaxed

Computed properties:
DOS(E_F): 11.04 states/eV per cell

Cell: 12.4261 12.4261 3.7227 Å, 90.00 90.00 90.00°
Closest atoms and distances in Å follow each position.
Space group I-42d (No. 122)
Inequivalent atoms, fractional coordinates:
K: 0.0251 0.2500 0.1250 x8  2 B 3.16, 2 Si 3.42
Si: 0.0000 0.0000 0.5000 x4  2 B 1.86
B: 0.0000 0.0000 0.0000 x4  2 Si 1.86

---

Stability check: which of them is least stable? #i.

---

#i
Compound: K2SnB
Source: Alexandria via LeMat-Bulk
Functional: GGA-PBE
Structure: relaxed

Computed properties:
DOS(E_F): 11.42 states/eV per cell

Cell: 12.5791 12.5791 4.4002 Å, 90.00 90.00 90.00°
Closest atoms and distances in Å follow each position.
Space group I-42d (No. 122)
Inequivalent atoms, fractional coordinates:
K: 0.0192 0.2500 0.1250 x8  2 B 3.20, 2 Sn 3.56
Sn: 0.0000 0.0000 0.5000 x4  2 B 2.20
B: 0.0000 0.0000 0.0000 x4  2 Sn 2.20

---

#ii
Compound: K2SnB
Source: Alexandria via LeMat-Bulk
Functional: GGA-PBE
Structure: relaxed

Computed properties:
DOS(E_F): 16.18 states/eV per cell

Cell: 7.9630 7.9630 7.9630 Å, 90.00 90.00 90.00°
Closest atoms and distances in Å follow each position.
Space group Fm-3m (No. 225)
Inequivalent atoms, fractional coordinates:
K: 0.2500 0.2500 0.2500 x8  4 Sn 3.45, 4 B 3.45
Sn: 0.0000 0.0000 0.0000 x4  8 K 3.45
B: 0.0000 0.0000 0.5000 x4  8 K 3.45

---

Stability check: which of them is least stable? #ii.

---

#i
Compound: KSrB3
Source: Alexandria via LeMat-Bulk
Functional: GGA-PBE
Structure: relaxed

Computed properties:
DOS(E_F): 5.20 states/eV per cell

Cell: 5.2976 5.2976 5.2976 Å, 90.00 90.00 90.00°
Closest atoms and distances in Å follow each position.
Space group Pm-3m (No. 221)
Inequivalent atoms, fractional coordinates:
K: 0.0000 0.0000 0.0000 x1  12 B 3.75
Sr: 0.5000 0.5000 0.5000 x1  6 B 2.65
B: 0.0000 0.5000 0.5000 x3  2 Sr 2.65

---

#ii
Compound: KSrB3
Source: Alexandria via LeMat-Bulk
Functional: GGA-PBE
Structure: relaxed

Computed properties:
DOS(E_F): 6.36 states/eV per cell

Cell: 4.9600 4.9600 4.9600 Å, 90.00 90.00 90.00°
Closest atoms and distances in Å follow each position.
Space group Pm-3m (No. 221)
Inequivalent atoms, fractional coordinates:
K: 0.0000 0.0000 0.0000 x1  6 B 2.48
Sr: 0.5000 0.5000 0.5000 x1  12 B 3.51
B: 0.0000 0.0000 0.5000 x3  2 K 2.48

---

Stability check: which of them is least stable? #ii.

---

#i
Compound: KSrB2
Source: Alexandria via LeMat-Bulk
Functional: GGA-PBE
Structure: relaxed

Computed properties:
DOS(E_F): 16.34 states/eV per cell

Cell: 7.0848 7.0848 7.0848 Å, 90.00 90.00 90.00°
Closest atoms and distances in Å follow each position.
Space group Fm-3m (No. 225)
Inequivalent atoms, fractional coordinates:
K: 0.0000 0.0000 0.0000 x4  8 B 3.07
Sr: 0.0000 0.0000 0.5000 x4  8 B 3.07
B: 0.2500 0.2500 0.2500 x8  4 K 3.07, 4 Sr 3.07

---

#ii
Compound: KSrB2
Source: Alexandria via LeMat-Bulk
Functional: GGA-PBE
Structure: relaxed

Computed properties:
DOS(E_F): 16.34 states/eV per cell

Cell: 7.9229 7.9229 6.9112 Å, 90.00 90.00 90.00°
Closest atoms and distances in Å follow each position.
Space group I-42d (No. 122)
Inequivalent atoms, fractional coordinates:
K: 0.0000 0.0000 0.0000 x4  4 B 3.04
Sr: 0.0000 0.0000 0.5000 x4  4 B 2.83
B: 0.2309 0.2500 0.6250 x8  2 Sr 2.83, 2 K 3.04

---

Stability check: which of them is least stable? #ii.

---

#i
Compound: KTcB3
Source: Alexandria via LeMat-Bulk
Functional: GGA-PBE
Structure: relaxed

Computed properties:
DOS(E_F): 10.51 states/eV per cell

Cell: 4.1030 4.1030 4.1030 Å, 90.00 90.00 90.00°
Closest atoms and distances in Å follow each position.
Space group Pm-3m (No. 221)
Inequivalent atoms, fractional coordinates:
K: 0.0000 0.0000 0.0000 x1  6 B 2.05
Tc: 0.5000 0.5000 0.5000 x1  12 B 2.90
B: 0.0000 0.0000 0.5000 x3  2 K 2.05

---

#ii
Compound: KTcB3
Source: Alexandria via LeMat-Bulk
Functional: GGA-PBE
Structure: relaxed

Computed properties:
DOS(E_F): 2.14 states/eV per cell

Cell: 4.2236 4.2236 4.2236 Å, 90.00 90.00 90.00°
Closest atoms and distances in Å follow each position.
Space group Pm-3m (No. 221)
Inequivalent atoms, fractional coordinates:
K: 0.0000 0.0000 0.0000 x1  12 B 2.99
Tc: 0.5000 0.5000 0.5000 x1  6 B 2.11
B: 0.0000 0.5000 0.5000 x3  2 Tc 2.11

---

Stability check: which of them is least stable? #i.

---

#i
Compound: K2TcB2
Source: Alexandria via LeMat-Bulk
Functional: GGA-PBE
Structure: relaxed

Computed properties:
DOS(E_F): 7.44 states/eV per cell

Cell: 8.8926 8.8926 2.5127 Å, 90.00 90.00 90.00°
Closest atoms and distances in Å follow each position.
Space group P4/mbm (No. 127)
Inequivalent atoms, fractional coordinates:
K: 0.1339 0.3661 0.0000 x4  2 K 2.51
Tc: 0.0000 0.0000 0.0000 x2  2 Tc 2.51
B: 0.1635 0.6635 0.5000 x4  2 B 2.51

---

#ii
Compound: K2TcB2
Source: Alexandria via LeMat-Bulk
Functional: GGA-PBE
Structure: relaxed

Computed properties:
DOS(E_F): 8.33 states/eV per cell

Cell: 5.1325 5.1325 9.2084 Å, 90.00 90.00 90.00°
Closest atoms and distances in Å follow each position.
Space group I4/mmm (No. 139)
Inequivalent atoms, fractional coordinates:
K: 0.0000 0.0000 0.1450 x4  1 K 2.67, 4 B 2.74
Tc: 0.0000 0.0000 0.5000 x2  2 K 3.27, 8 B 3.45
B: 0.0000 0.5000 0.2500 x4  4 K 2.74

---

Stability check: which of them is least stable? #ii.

---

#i
Compound: K2BTe
Source: Alexandria via LeMat-Bulk
Functional: GGA-PBE
Structure: relaxed

Computed properties:
DOS(E_F): 10.22 states/eV per cell

Cell: 8.0514 8.0514 8.0514 Å, 90.00 90.00 90.00°
Closest atoms and distances in Å follow each position.
Space group Fm-3m (No. 225)
Inequivalent atoms, fractional coordinates:
K: 0.2500 0.2500 0.2500 x8  4 Te 3.49, 4 B 3.49
B: 0.0000 0.0000 0.0000 x4  8 K 3.49
Te: 0.0000 0.0000 0.5000 x4  8 K 3.49

---

#ii
Compound: K2BTe
Source: Alexandria via LeMat-Bulk
Functional: GGA-PBE
Structure: relaxed

Computed properties:
DOS(E_F): 0.00 states/eV per cell

Cell: 5.2151 5.2151 21.3167 Å, 90.00 90.00 90.00°
Closest atoms and distances in Å follow each position.
Space group I-42d (No. 122)
Inequivalent atoms, fractional coordinates:
K: 0.2169 0.2500 0.1250 x8  2 B 3.17, 2 Te 3.31, 2 K 3.45
B: 0.0000 0.0000 0.0000 x4  4 K 3.17
Te: 0.0000 0.0000 0.5000 x4  4 K 3.31, 4 B 3.69

---

Stability check: which of them is least stable? #ii.

---

#i
Compound: KTiB2
Source: Alexandria via LeMat-Bulk
Functional: GGA-PBE
Structure: relaxed

Computed properties:
DOS(E_F): 16.72 states/eV per cell

Cell: 4.6594 4.6594 15.0478 Å, 90.00 90.00 90.00°
Closest atoms and distances in Å follow each position.
Space group I4_1/amd (No. 141, origin choice 2)
Inequivalent atoms, fractional coordinates:
K: 0.0000 0.2500 0.3750 x4  8 B 3.21, 4 Ti 3.29
Ti: 0.0000 0.2500 0.8750 x4  4 B 2.21
B: 0.0000 0.0000 0.0000 x8  2 Ti 2.21, 2 B 2.33

---

#ii
Compound: KTiB2
Source: Alexandria via LeMat-Bulk
Functional: GGA-PBE
Structure: relaxed

Computed properties:
DOS(E_F): 14.64 states/eV per cell

Cell: 6.2124 6.2124 6.2124 Å, 90.00 90.00 90.00°
Closest atoms and distances in Å follow each position.
Space group Fm-3m (No. 225)
Inequivalent atoms, fractional coordinates:
K: 0.0000 0.0000 0.0000 x4  8 B 2.69
Ti: 0.0000 0.0000 0.5000 x4  8 B 2.69
B: 0.2500 0.2500 0.2500 x8  4 K 2.69, 4 Ti 2.69

---

Stability check: which of them is least stable? #ii.